Density functional theory data (PBE) for a relaxed structure of InCoReIr.

Output
**Magnetic moment**: 2.7 μB per formula unit
**Total energy**: -7.39 eV per atom
**SG**: F-43m

abc: 4.422 4.422 4.422
angles: 60.00 60.00 60.00
Sites, in units of the cell vectors:
In (0.000, 0.000, 0.000)
Co (0.250, 0.250, 0.250)
Re (0.500, 0.500, 0.500)
Ir (0.750, 0.750, 0.750)